The following is a DFT calculation (GGA-PBE) of an optimized crystal structure of HfUZn17.

POSCAR file:
```
HfUZn17
1.0
4.447 2.567 4.354
-4.447 2.567 4.354
0.000 -5.135 4.354
Hf U Zn
1 1 17
direct
0.000 0.000 0.000
0.333 0.333 0.333
0.020 0.020 0.521
0.020 0.521 0.020
0.177 0.660 0.660
0.308 0.308 0.844
0.308 0.844 0.308
0.366 0.672 0.966
0.366 0.966 0.672
0.521 0.020 0.020
0.572 0.572 0.572
0.660 0.177 0.660
0.660 0.660 0.177
0.672 0.366 0.966
0.672 0.966 0.366
0.774 0.774 0.774
0.844 0.308 0.308
0.966 0.366 0.672
0.966 0.672 0.366
```

Calculated values
ΔH_f (0 K): -0.055 eV/atom

The following is a DFT calculation (GGA-PBE) of an optimized crystal structure of Y3MnN.

POSCAR file:
```
Y3MnN
1.0
4.722 0.000 0.000
0.000 4.722 0.000
0.000 0.000 4.722
Y Mn N
3 1 1
direct
0.000 0.000 0.500
0.000 0.500 0.000
0.500 0.000 0.000
0.500 0.500 0.500
0.000 0.000 0.000
```

Calculated values
formation energy from raw total energies: -277 meV per atom
relative energy among the computed polymorphs: 0.000 eV/atom

The following is a DFT calculation (GGA-PBE) of an optimized crystal structure of Tl5HgS4.

POSCAR file:
```
Tl5HgS4
1.0
8.665 0.000 0.000
0.000 9.675 0.000
0.000 0.000 7.848
Tl Hg S
10 2 8
direct
0.020 0.058 0.239
0.020 0.442 0.239
0.250 0.250 0.645
0.480 0.058 0.239
0.480 0.442 0.239
0.520 0.558 0.761
0.520 0.942 0.761
0.750 0.750 0.355
0.980 0.558 0.761
0.980 0.942 0.761
0.250 0.750 0.334
0.750 0.250 0.666
0.004 0.750 0.148
0.250 0.526 0.529
0.250 0.974 0.529
0.496 0.750 0.148
0.504 0.250 0.852
0.750 0.026 0.471
0.750 0.474 0.471
0.996 0.250 0.852
```

Calculated values
formation energy from raw total energies: -206 meV per atom
relative energy among the computed polymorphs: 0.000 eV/atom

The following is a DFT calculation (GGA-PBE) of an optimized crystal structure of Na2ThAgSe4.

POSCAR file:
```
Na2ThAgSe4
1.0
2.026 -6.978 0.000
2.026 6.978 0.000
0.000 0.000 14.656
Na Th Ag Se
4 2 2 8
direct
0.135 0.865 0.565
0.135 0.865 0.935
0.865 0.135 0.065
0.865 0.135 0.435
0.397 0.603 0.750
0.603 0.397 0.250
0.329 0.671 0.250
0.671 0.329 0.750
0.049 0.951 0.750
0.190 0.810 0.127
0.190 0.810 0.373
0.500 0.500 0.000
0.500 0.500 0.500
0.810 0.190 0.627
0.810 0.190 0.873
0.951 0.049 0.250
```

Calculated values
formation energy from raw total energies: -981 meV per atom

Number 1: E -2.31 eV/atom. Number 2: E -7.65 eV/atom. Number 3: E -3.07 eV/atom. Number 4: E -4.34 eV/atom.